No. 1
The following is a PBE-GGA calculation of a geometry-optimized KCdB3O6 structure, from the Open Quantum Materials Database.

Unit cell a=7.511 b=7.511 c=12.293 alpha=97.46 beta=97.46 gamma=123.27
Sites, in units of the cell vectors:
B1 0.924 0.762 0.088
B2 0.321 0.935 0.126
B3 0.180 0.160 0.156
B4 0.840 0.820 0.344
B5 0.065 0.679 0.374
B6 0.238 0.076 0.412
B7 0.762 0.924 0.588
B8 0.935 0.321 0.626
B9 0.160 0.180 0.656
B10 0.820 0.840 0.844
B11 0.679 0.065 0.874
B12 0.076 0.238 0.912
Cd1 0.479 0.630 0.122
Cd2 0.370 0.521 0.378
Cd3 0.630 0.479 0.622
Cd4 0.521 0.370 0.878
K1 0.837 0.322 0.133
K2 0.678 0.163 0.367
K3 0.322 0.837 0.633
K4 0.163 0.678 0.867
O1 0.719 0.579 0.063
O2 0.102 0.748 0.088
O3 0.965 0.969 0.120
O4 0.492 0.926 0.126
O5 0.354 0.138 0.164
O6 0.215 0.357 0.183
O7 0.643 0.785 0.317
O8 0.862 0.646 0.336
O9 0.074 0.508 0.374
O10 0.031 0.035 0.380
O11 0.252 0.898 0.412
O12 0.421 0.281 0.437
O13 0.579 0.719 0.563
O14 0.748 0.102 0.588
O15 0.969 0.965 0.620
O16 0.926 0.492 0.626
O17 0.138 0.354 0.664
O18 0.357 0.215 0.683
O19 0.785 0.643 0.817
O20 0.646 0.862 0.836
O21 0.508 0.074 0.874
O22 0.035 0.031 0.880
O23 0.898 0.252 0.912
O24 0.281 0.421 0.937

Results
VASP energy = -6.875 eV per atom
V = 12.7 Å³ per atom

No. 2
The following is a PBE-GGA calculation of a geometry-optimized TmInAu structure, from the Open Quantum Materials Database.

Unit cell a=7.562 b=7.562 c=4.040 alpha=90.00 beta=90.00 gamma=120.00
Sites, in units of the cell vectors:
Au1 0.667 0.333 0.000
Au2 0.333 0.667 0.000
Au3 0.000 0.000 0.500
In1 0.260 0.000 0.000
In2 0.000 0.260 0.000
In3 0.740 0.740 0.000
Tm1 0.591 0.000 0.500
Tm2 0.409 0.409 0.500
Tm3 0.000 0.591 0.500

Results
VASP energy = -4.213 eV per atom
V = 22.2 Å³ per atom

No. 3
The following is a PBE-GGA calculation of a geometry-optimized LaTbAg2Sn2 structure, from the Open Quantum Materials Database.

Unit cell a=4.786 b=4.786 c=7.595 alpha=90.00 beta=90.00 gamma=120.00
Sites, in units of the cell vectors:
Ag1 0.667 0.333 0.475
Ag2 0.333 0.667 0.942
La1 0.000 0.000 0.255
Sn1 0.667 0.333 0.028
Sn2 0.333 0.667 0.543
Tb1 0.000 0.000 0.757

Results
VASP energy = -4.500 eV per atom
V = 25.1 Å³ per atom

No. 4
The following is a PBE-GGA calculation of a geometry-optimized LiFeBPd structure, from the Open Quantum Materials Database.

Unit cell a=3.847 b=3.847 c=3.847 alpha=60.00 beta=60.00 gamma=60.00
Sites, in units of the cell vectors:
B1 0.000 0.000 0.000
Fe1 0.750 0.750 0.750
Li1 0.500 0.500 0.500
Pd1 0.250 0.250 0.250

Results
VASP energy = -5.436 eV per atom
excess energy over the best structure of this formula in the dataset = 0 meV/atom
V = 10.1 Å³ per atom